## PrYBi (GGA-PBE)

Data for a relaxed structure of PrYBi.

Output
Density of states at the Fermi level = 2.88 states/eV/cell
Size of the total moment = 0.33 μB per atom
Symmetry = I4mm (107)
Electronic total energy = -16.6 eV/cell

The structure in POSCAR format:
```
PrYBi
1.0
4.1368 0.0000 0.0000
0.0000 4.1368 0.0000
-2.0684 -2.0684 5.5124
Bi Y Pr
1 1 1
direct
0.6086 0.6086 0.2173 Bi
0.9659 0.9659 0.9319 Y
0.2754 0.2754 0.5508 Pr
```